(1)
Below is crystalline HgPbSO at its relaxed geometry, with properties calculated at the GGA-PBE level.

Values from the calculation:
Electronic total energy (eV/atom): -3.636
V (Å³ per cell): 735
Density (Mg/m³): 8.234

Cell lengths 6.4611, 7.4463, 15.2862 Å; angles 90.00, 90.00, 90.00 degrees
Space group Pbca (No. 61)
Symmetry-distinct sites (fractional):
Hg 0.0698 0.2390 0.1878 x8
Pb 0.0935 0.2434 0.9284 x8
S 0.2220 0.0129 0.0856 x8
O 0.2457 0.1553 0.8062 x8

---

(2)
Below is crystalline K2GaSn3Pt2 at its relaxed geometry, with properties calculated at the GGA-PBE level.

Values from the calculation:
Electronic total energy (eV/atom): -4.106
V (Å³ per cell): 433
Density (Mg/m³): 6.856

Cell lengths 12.8646, 4.3991, 7.6571 Å; angles 90.00, 91.72, 90.00 degrees
Space group Cm (No. 8)
Symmetry-distinct sites (fractional):
K 0.0000 0.0000 0.0000 x2
K 0.0935 0.0000 0.5176 x2
Ga 0.3540 0.0000 0.7036 x2
Sn 0.2133 0.5000 0.8179 x2
Sn 0.2158 0.5000 0.2218 x2
Sn 0.3899 0.0000 0.3209 x2
Pt 0.2756 0.0000 0.0106 x2
Pt 0.3381 0.5000 0.5303 x2

---

(3)
Below is crystalline NaCuWS3 at its relaxed geometry, with properties calculated at the GGA-PBE level.

Values from the calculation:
Electronic total energy (eV/atom): -5.547
V (Å³ per cell): 422
Density (Mg/m³): 5.776

Cell lengths 3.4099, 13.2340, 9.3411 Å; angles 90.00, 90.00, 90.00 degrees
Space group Cmcm (No. 63)
Symmetry-distinct sites (fractional):
Na 0.0000 0.2467 0.2500 x4
Cu 0.0000 0.4603 0.7500 x4
W 0.0000 0.0000 0.0000 x4
S 0.0000 0.0776 0.7500 x4
S 0.0000 0.3695 0.5474 x8

---

(4)
Below is crystalline TbPPtO at its relaxed geometry, with properties calculated at the GGA-PBE level.

Values from the calculation:
Electronic total energy (eV/atom): -6.656
V (Å³ per cell): 149
Density (Mg/m³): 8.966

Cell lengths 3.5347, 7.5827, 5.5416 Å; angles 90.00, 90.00, 90.00 degrees
Space group Pmc2_1 (No. 26)
Symmetry-distinct sites (fractional):
Tb 0.0000 0.2157 0.0000 x2
P 0.0000 0.4130 0.4970 x2
Pt 0.5000 0.2254 0.5106 x2
O 0.5000 0.0652 0.0436 x2